# Zr2Cu2Bi

A geometry-optimized Zr2Cu2Bi structure (PBE, the Alexandria database).

a = 6.9292 Å, b = 6.9292 Å, c = 4.0129 Å
α = 90.00°, β = 90.00°, γ = 90.00°
With the nearest neighbours (Å) after each atom.
Fractional positions:
Bi 0.0000 0.0000 0.0000  4 Cu 2.75
Zr 0.6642 0.8358 0.5000  6 Cu 2.84-2.90
Zr 0.8358 0.3358 0.5000  6 Cu 2.84-2.90
Cu 0.3780 0.8780 0.0000  1 Cu 2.39
Zr 0.1642 0.6642 0.5000  6 Cu 2.84-2.90
Zr 0.3358 0.1642 0.5000  6 Cu 2.84-2.90
Cu 0.8780 0.6220 0.0000  1 Cu 2.39
Cu 0.1220 0.3780 0.0000  1 Cu 2.39
Cu 0.6220 0.1220 0.0000  1 Cu 2.39
Bi 0.5000 0.5000 0.0000  4 Cu 2.75

Properties
Its formation energy is -0.16 eV/atom.

# ZrCu2Bi

A geometry-optimized ZrCu2Bi structure (PBE, the Alexandria database).

a = 4.1576 Å, b = 4.2065 Å, c = 4.2065 Å
α = 90.00°, β = 90.00°, γ = 90.00°
With the nearest neighbours (Å) after each atom.
Fractional positions:
Bi 0.5000 0.5000 0.5000  8 Cu 2.96, 4 Zr 2.97
Zr 0.5000 0.0000 0.0000  8 Cu 2.96, 4 Bi 2.97
Cu 0.0000 0.5000 0.0000  4 Zr 2.96, 4 Bi 2.96, 4 Cu 2.97
Cu 0.0000 0.0000 0.5000  4 Zr 2.96, 4 Bi 2.96, 4 Cu 2.97

Properties
Its formation energy is -0.03 eV/atom.

# ZrCuBi

A geometry-optimized ZrCuBi structure (PBE, the Alexandria database).

a = 3.8973 Å, b = 3.8973 Å, c = 5.1076 Å
α = 112.43°, β = 112.43°, γ = 90.00°
With the nearest neighbours (Å) after each atom.
Fractional positions:
Zr 0.6141 0.6141 0.2283  5 Cu 2.87-3.10, 5 Bi 2.94-3.08
Cu 0.2804 0.2804 0.5607  1 Bi 2.79, 5 Zr 2.87-3.10
Bi 0.9555 0.9555 0.9110  1 Cu 2.79, 5 Zr 2.94-3.08

Properties
Its formation energy is 0.11 eV/atom.